i.
TaCrCd | Alexandria via LeMat-Bulk | PBE | relaxed; space group = Fmm2
1.0
3.285 0.000 0.000
0.000 4.592 0.000
0.000 0.000 13.602
Ta Cr Cd
4 4 4
Direct
0.000 0.000 0.000 Ta
0.000 0.500 0.500 Ta
0.500 0.000 0.500 Ta
0.500 0.500 0.000 Ta
0.000 0.000 0.360 Cr
0.000 0.500 0.860 Cr
0.500 0.000 0.860 Cr
0.500 0.500 0.360 Cr
0.000 0.000 0.690 Cd
0.000 0.500 0.190 Cd
0.500 0.000 0.190 Cd
0.500 0.500 0.690 Cd

ii.
TaCrCd | Alexandria via LeMat-Bulk | PBE | relaxed; space group = I4mm
1.0
3.237 0.000 0.000
0.000 3.237 0.000
0.000 0.000 9.891
Ta Cr Cd
2 2 2
Direct
0.000 0.000 0.000 Ta
0.500 0.500 0.500 Ta
0.000 0.000 0.620 Cr
0.500 0.500 0.120 Cr
0.000 0.000 0.301 Cd
0.500 0.500 0.801 Cd

iii.
TaCrCd | Alexandria via LeMat-Bulk | PBE | relaxed; space group = F-43m
1.0
6.181 0.000 0.000
0.000 6.181 0.000
0.000 0.000 6.181
Ta Cr Cd
4 4 4
Direct
0.000 0.000 0.000 Ta
0.000 0.500 0.500 Ta
0.500 0.000 0.500 Ta
0.500 0.500 0.000 Ta
0.250 0.250 0.250 Cr
0.250 0.750 0.750 Cr
0.750 0.250 0.750 Cr
0.750 0.750 0.250 Cr
0.000 0.000 0.500 Cd
0.000 0.500 0.000 Cd
0.500 0.000 0.000 Cd
0.500 0.500 0.500 Cd

iv.
TaCrCd | Alexandria via LeMat-Bulk | PBE | relaxed; space group = I4mm
1.0
2.900 0.000 0.000
0.000 2.900 0.000
0.000 0.000 12.763
Ta Cr Cd
2 2 2
Direct
0.000 0.000 0.000 Ta
0.500 0.500 0.500 Ta
0.000 0.000 0.645 Cr
0.500 0.500 0.145 Cr
0.000 0.000 0.314 Cd
0.500 0.500 0.814 Cd

Q: Which of them is the least stable? A: iii.

i.
CrCd2Tc | Alexandria via LeMat-Bulk | PBE | relaxed; space group = Pmmm
1.0
2.843 0.000 0.000
0.000 4.379 0.000
0.000 0.000 5.604
Cr Cd Tc
1 2 1
Direct
0.000 0.000 0.000 Cr
0.500 0.500 0.251 Cd
0.500 0.500 0.749 Cd
0.000 0.000 0.500 Tc

ii.
CrCd2Tc | Alexandria via LeMat-Bulk | PBE | relaxed; space group = P4/mmm
1.0
4.730 0.000 0.000
0.000 4.730 0.000
0.000 0.000 3.188
Cr Cd Tc
1 2 1
Direct
0.000 0.000 0.000 Cr
0.000 0.500 0.500 Cd
0.500 0.000 0.500 Cd
0.500 0.500 0.000 Tc

Q: Which of them is the least stable? A: ii.

i.
CrCd2Tc | Alexandria via LeMat-Bulk | PBE | relaxed; space group = P2/m
1.0
2.822 0.000 0.000
0.000 4.706 0.000
-1.198 0.000 5.233
Cr Cd Tc
1 2 1
Direct
0.000 0.000 0.000 Cr
0.232 0.500 0.750 Cd
0.768 0.500 0.250 Cd
0.500 0.000 0.500 Tc

ii.
CrCd2Tc | Alexandria via LeMat-Bulk | PBE | relaxed; space group = Cm
1.0
10.431 0.000 0.000
0.000 3.114 0.000
-2.209 0.000 4.286
Cr Cd Tc
2 4 2
Direct
0.000 0.000 0.000 Cr
0.500 0.500 0.000 Cr
0.043 0.500 0.543 Cd
0.267 0.500 0.267 Cd
0.543 0.000 0.543 Cd
0.767 0.000 0.267 Cd
0.316 0.000 0.816 Tc
0.816 0.500 0.816 Tc

Q: Which of them is the least stable? A: i.